[1]
Ge2AuSe2: relaxed, GGA-PBE.

```
Ge2AuSe2
1.0
7.8166 0.0000 0.0000
0.0000 7.8166 0.0000
0.0000 0.0000 3.6940
Ge Au Se
4 2 4
direct
0.1715 0.3285 0.0000
0.3285 0.8285 0.0000
0.6715 0.1715 0.0000
0.8285 0.6715 0.0000
0.0000 0.0000 0.5000
0.5000 0.5000 0.5000
0.1698 0.6698 0.5000
0.3302 0.1698 0.5000
0.6698 0.8302 0.5000
0.8302 0.3302 0.5000
```

Properties
* space group: P4/mbm (127)
* uncorrected formation energy: 0.132 eV/atom



[2]
MnCrB2: relaxed, GGA-PBE.

```
MnCrB2
1.0
1.4867 0.8583 4.7001
-1.4867 0.8583 4.7001
0.0000 -1.7167 4.7001
Mn Cr B
1 1 2
direct
0.0000 0.0000 0.0000
0.5000 0.5000 0.5000
0.2510 0.2510 0.2510
0.7490 0.7490 0.7490
```

Properties
* DFT formation energy: -0.049 eV/atom
* space group: R-3m (166)



| no. | E above lowest polymorph (kJ per mole of atoms) | raw total energy (eV per atom) |
| --- | --- | --- |
| 1 | 26.5 | -3.7641 |
| 2 | 42.2 | -8.0862 |